# 1
The following is a PBE calculation of crystalline LaErGaNi at its relaxed geometry, from Alexandria via LeMat-Bulk.

Summary:
volume: 22.809 Å³ per atom
formation energy from the elements: -1.522 eV/f.u.

Cell: 5.0531 5.0531 5.0531 Å, 60.00 60.00 60.00°
Positions (direct):
La1 0.0000 0.0000 0.0000
Er1 0.5000 0.5000 0.5000
Ga1 0.2500 0.2500 0.2500
Ni1 0.7500 0.7500 0.7500

---

# 2
The following is a PBE calculation of crystalline Np2As7Ru12 at its relaxed geometry, from Alexandria via LeMat-Bulk.

Summary:
volume: 15.771 Å³ per atom
formation energy from the elements: -5.936 eV/f.u.

Cell: 9.8068 9.8068 3.9764 Å, 90.00 90.00 120.00°
Positions (direct):
Np1 0.0000 0.0000 0.0000
Np2 0.3333 0.6667 0.5000
As1 0.0794 0.4494 0.0000
As2 0.2637 0.2190 0.5000
As3 0.3700 0.9206 0.0000
As4 0.5506 0.6300 0.0000
As5 0.6667 0.3333 0.0000
As6 0.7810 0.0447 0.5000
As7 0.9553 0.7363 0.5000
Ru1 0.0516 0.2776 0.5000
Ru2 0.1010 0.7035 0.0000
Ru3 0.2260 0.9484 0.5000
Ru4 0.2965 0.3975 0.0000
Ru5 0.3921 0.1769 0.0000
Ru6 0.5454 0.4314 0.5000
Ru7 0.5686 0.1140 0.5000
Ru8 0.6025 0.8990 0.0000
Ru9 0.7224 0.7740 0.5000
Ru10 0.7849 0.6079 0.0000
Ru11 0.8231 0.2151 0.0000
Ru12 0.8860 0.4546 0.5000

---

# 3
The following is a PBE calculation of crystalline K2Sn2H at its relaxed geometry, from Alexandria via LeMat-Bulk.

Summary:
volume: 35.475 Å³ per atom
calculated total energy: -0.091 hartree per atom

Cell: 6.1310 6.1310 6.1310 Å, 109.02 109.02 110.37°
Positions (direct):
K1 0.2500 0.7500 0.5000
K2 0.7500 0.2500 0.5000
Sn1 0.2018 0.2018 0.0000
Sn2 0.7982 0.7982 0.0000
H1 0.5000 0.5000 0.0000

---

# 4
The following is a PBE calculation of crystalline AlIn2TcOs at its relaxed geometry, from Alexandria via LeMat-Bulk.

Summary:
volume: 23.881 Å³ per atom
formation energy from the elements: 6.883 eV/f.u.

Cell: 5.0850 5.0850 4.6179 Å, 90.00 90.00 90.00°
Positions (direct):
Al1 0.0000 0.0000 0.0000
In1 0.0000 0.5000 0.5000
In2 0.5000 0.0000 0.5000
Tc1 0.0000 0.0000 0.5000
Os1 0.5000 0.5000 0.0000

---

# 5
The following is a PBE calculation of crystalline Cs2RbH at its relaxed geometry, from Alexandria via LeMat-Bulk.

Summary:
volume: 68.057 Å³ per atom
calculated total energy: -0.057 hartree per atom

Cell: 16.5627 4.5536 14.4379 Å, 90.00 90.00 90.00°
Positions (direct):
Cs1 0.1011 0.2500 0.0791
Cs2 0.1149 0.7500 0.7732
Cs3 0.3851 0.2500 0.2732
Cs4 0.3989 0.7500 0.5791
Cs5 0.6011 0.2500 0.4209
Cs6 0.6149 0.7500 0.7268
Cs7 0.8851 0.2500 0.2268
Cs8 0.8989 0.7500 0.9209
Rb1 0.1266 0.2500 0.4435
Rb2 0.3734 0.7500 0.9435
Rb3 0.6266 0.2500 0.0565
Rb4 0.8734 0.7500 0.5565
H1 0.0270 0.2500 0.8854
H2 0.4730 0.7500 0.3854
H3 0.5270 0.2500 0.6146
H4 0.9730 0.7500 0.1146

---

# 6
The following is a PBE calculation of crystalline Cu5Re4 at its relaxed geometry, from Alexandria via LeMat-Bulk.

Summary:
volume: 13.637 Å³ per atom
formation energy from the elements: 3.081 eV/f.u.

Cell: 6.3774 6.3774 6.3774 Å, 93.66 93.66 150.72°
Positions (direct):
Cu1 0.0000 0.0000 0.0000
Cu2 0.3329 0.3329 0.6659
Cu3 0.3329 0.6671 0.0000
Cu4 0.6671 0.3329 0.0000
Cu5 0.6671 0.6671 0.3341
Re1 0.0000 0.3331 0.3331
Re2 0.0000 0.6669 0.6669
Re3 0.3331 0.0000 0.3331
Re4 0.6669 0.0000 0.6669

---

# 7
The following is a PBE calculation of crystalline TbMnMoC3 at its relaxed geometry, from Alexandria via LeMat-Bulk.

Summary:
volume: 13.051 Å³ per atom
formation energy from the elements: 0.325 eV/f.u.

Cell: 6.7039 3.2785 7.3296 Å, 90.00 103.56 90.00°
Positions (direct):
Tb1 0.1812 0.2500 0.1997
Tb2 0.8188 0.7500 0.8003
Mn1 0.1091 0.2500 0.6046
Mn2 0.8909 0.7500 0.3954
Mo1 0.3520 0.7500 0.8689
Mo2 0.6480 0.2500 0.1311
C1 0.1199 0.2500 0.8568
C2 0.1767 0.7500 0.5231
C3 0.4442 0.7500 0.1587
C4 0.5558 0.2500 0.8413
C5 0.8233 0.2500 0.4769
C6 0.8801 0.7500 0.1432

---

# 8
The following is a PBE calculation of crystalline CsBa2ScAs at its relaxed geometry, from Alexandria via LeMat-Bulk.

Summary:
volume: 47.485 Å³ per atom
formation energy from the elements: 0.231 eV/f.u.

Cell: 6.7068 6.7068 5.2783 Å, 90.00 90.00 90.00°
Positions (direct):
Cs1 0.0000 0.0000 0.0000
Ba1 0.0000 0.5000 0.5000
Ba2 0.5000 0.0000 0.5000
Sc1 0.5000 0.5000 0.5000
As1 0.5000 0.5000 0.0000

---

# 9
The following is a PBE calculation of crystalline SnTe2Pd5 at its relaxed geometry, from Alexandria via LeMat-Bulk.

Summary:
volume: 20.421 Å³ per atom
ΔE_f (raw): -0.440 eV/atom

Cell: 10.2657 10.2657 10.2657 Å, 157.12 157.12 32.58°
Positions (direct):
Sn1 0.0000 0.0000 0.0000
Te1 0.3110 0.3110 0.0000
Te2 0.6890 0.6890 0.0000
Pd1 0.1014 0.6014 0.5000
Pd2 0.3986 0.8986 0.5000
Pd3 0.5000 0.5000 0.0000
Pd4 0.6014 0.1014 0.5000
Pd5 0.8986 0.3986 0.5000

---

# 10
The following is a PBE calculation of crystalline La3Tb2CeTe6 at its relaxed geometry, from Alexandria via LeMat-Bulk.

Summary:
volume: 32.163 Å³ per atom
ΔE_f (raw): -1.465 eV/atom

Cell: 7.7802 7.7802 7.8248 Å, 99.56 99.56 120.20°
Positions (direct):
La1 0.0000 0.0000 0.0000
La2 0.3361 0.6639 0.0000
La3 0.6639 0.3361 0.0000
Tb1 0.1673 0.8327 0.5000
Tb2 0.8327 0.1673 0.5000
Ce1 0.5000 0.5000 0.5000
Te1 0.0814 0.4203 0.2612
Te2 0.2391 0.2391 0.7357
Te3 0.4203 0.0814 0.2612
Te4 0.5797 0.9186 0.7388
Te5 0.7609 0.7609 0.2643
Te6 0.9186 0.5797 0.7388

---

# 11
The following is a PBE calculation of crystalline Pr2Ni3Rh at its relaxed geometry, from Alexandria via LeMat-Bulk.

Summary:
volume: 17.197 Å³ per atom
formation energy from the elements: -2.325 eV/f.u.

Cell: 5.3310 5.3310 5.3310 Å, 58.40 58.40 58.40°
Positions (direct):
Pr1 0.1235 0.1235 0.1235
Pr2 0.8765 0.8765 0.8765
Ni1 0.0000 0.5000 0.5000
Ni2 0.5000 0.0000 0.5000
Ni3 0.5000 0.5000 0.0000
Rh1 0.5000 0.5000 0.5000

---

# 12
The following is a PBE calculation of crystalline K2Ce2Se5 at its relaxed geometry, from Alexandria via LeMat-Bulk.

Summary:
volume: 29.121 Å³ per atom
ΔE_f (raw): -1.540 eV/atom

Cell: 9.0313 9.0313 8.0572 Å, 90.00 90.00 52.90°
Positions (direct):
K1 0.2044 0.2044 0.0000
K2 0.2956 0.2956 0.5000
K3 0.7044 0.7044 0.5000
K4 0.7956 0.7956 0.0000
Ce1 0.1633 0.8367 0.6633
Ce2 0.3367 0.6633 0.1633
Ce3 0.6633 0.3367 0.8367
Ce4 0.8367 0.1633 0.3367
Se1 0.0000 0.0000 0.0000
Se2 0.0303 0.7416 0.3558
Se3 0.2416 0.5303 0.8558
Se4 0.2584 0.9697 0.3558
Se5 0.4697 0.7584 0.8558
Se6 0.5000 0.5000 0.5000
Se7 0.5303 0.2416 0.1442
Se8 0.7416 0.0303 0.6442
Se9 0.7584 0.4697 0.1442
Se10 0.9697 0.2584 0.6442

---

# 13
The following is a PBE calculation of crystalline TaTi2AsOs at its relaxed geometry, from Alexandria via LeMat-Bulk.

Summary:
volume: 20.919 Å³ per atom
formation energy from the elements: 7.314 eV/f.u.

Cell: 4.7015 4.7015 4.7320 Å, 90.00 90.00 90.00°
Positions (direct):
Ta1 0.0000 0.0000 0.0000
Ti1 0.0000 0.5000 0.0000
Ti2 0.5000 0.0000 0.0000
As1 0.0000 0.0000 0.5000
Os1 0.5000 0.5000 0.5000

---

# 14
The following is a PBE calculation of crystalline Cr2TePt at its relaxed geometry, from Alexandria via LeMat-Bulk.

Summary:
volume: 16.782 Å³ per atom
ΔE_f (raw): 0.334 eV/atom

Cell: 2.9947 3.9823 5.7872 Å, 90.00 103.44 90.00°
Positions (direct):
Cr1 0.0808 0.0000 0.1805
Cr2 0.9192 0.0000 0.8195
Te1 0.5000 0.5000 0.5000
Pt1 0.5000 0.5000 0.0000

---

# 15
The following is a PBE calculation of crystalline NpSnIr at its relaxed geometry, from Alexandria via LeMat-Bulk.

Summary:
volume: 20.330 Å³ per atom
formation energy from the elements: -0.581 eV/f.u.

Cell: 4.7763 4.7763 3.0870 Å, 90.00 90.00 120.00°
Positions (direct):
Np1 0.0000 0.0000 0.0000
Sn1 0.3333 0.6667 0.5000
Ir1 0.6667 0.3333 0.5000

---

# 16
The following is a PBE calculation of crystalline TiP2OsBr at its relaxed geometry, from Alexandria via LeMat-Bulk.

Summary:
volume: 21.899 Å³ per atom
ΔE_f (raw): 0.752 eV/atom

Cell: 4.5059 4.5059 5.3930 Å, 90.00 90.00 90.00°
Positions (direct):
Ti1 0.0000 0.0000 0.0000
P1 0.0000 0.5000 0.5000
P2 0.5000 0.0000 0.5000
Os1 0.5000 0.5000 0.5000
Br1 0.5000 0.5000 0.0000

---

# 17
The following is a PBE calculation of crystalline V2CCl at its relaxed geometry, from Alexandria via LeMat-Bulk.

Summary:
volume: 10.900 Å³ per atom
ΔE_f (raw): 0.511 eV/atom

Cell: 3.9506 3.9506 3.9506 Å, 60.00 60.00 60.00°
Positions (direct):
V1 0.2500 0.2500 0.2500
V2 0.7500 0.7500 0.7500
C1 0.0000 0.0000 0.0000
Cl1 0.5000 0.5000 0.5000

---

# 18
The following is a PBE calculation of crystalline U2TaZn16 at its relaxed geometry, from Alexandria via LeMat-Bulk.

Summary:
volume: 16.363 Å³ per atom
formation energy from the elements: 0.261 eV/f.u.

Cell: 6.8228 6.8228 6.8228 Å, 82.93 82.93 82.93°
Positions (direct):
U1 0.0000 0.0000 0.0000
U2 0.3351 0.3351 0.3351
Ta1 0.5528 0.5528 0.5528
Zn1 0.0194 0.0194 0.4885
Zn2 0.0194 0.4885 0.0194
Zn3 0.1505 0.6627 0.6627
Zn4 0.3027 0.3027 0.8053
Zn5 0.3027 0.8053 0.3027
Zn6 0.3658 0.6573 0.9479
Zn7 0.3658 0.9479 0.6573
Zn8 0.4885 0.0194 0.0194
Zn9 0.6573 0.3658 0.9479
Zn10 0.6573 0.9479 0.3658
Zn11 0.6627 0.1505 0.6627
Zn12 0.6627 0.6627 0.1505
Zn13 0.7657 0.7657 0.7657
Zn14 0.8053 0.3027 0.3027
Zn15 0.9479 0.3658 0.6573
Zn16 0.9479 0.6573 0.3658

---

# 19
The following is a PBE calculation of crystalline Li3SbOs at its relaxed geometry, from Alexandria via LeMat-Bulk.

Summary:
volume: 19.772 Å³ per atom
ΔE_f (raw): 0.872 eV/atom

Cell: 4.6239 4.6239 4.6239 Å, 90.00 90.00 90.00°
Positions (direct):
Li1 0.0000 0.0000 0.5000
Li2 0.0000 0.5000 0.0000
Li3 0.5000 0.0000 0.0000
Sb1 0.5000 0.5000 0.5000
Os1 0.0000 0.0000 0.0000

---

# 20
The following is a PBE calculation of crystalline YSnRh3 at its relaxed geometry, from Alexandria via LeMat-Bulk.

Summary:
volume: 18.926 Å³ per atom
formation energy from the elements: -2.576 eV/f.u.

Cell: 6.5033 6.5033 6.5033 Å, 129.43 108.79 92.45°
Positions (direct):
Y1 0.2631 0.0131 0.2500
Y2 0.7369 0.9869 0.7500
Sn1 0.0000 0.5000 0.5000
Sn2 0.5000 0.5000 0.0000
Rh1 0.0429 0.2929 0.7500
Rh2 0.3046 0.0000 0.8046
Rh3 0.3046 0.5000 0.3046
Rh4 0.6954 0.0000 0.1954
Rh5 0.6954 0.5000 0.6954
Rh6 0.9571 0.7071 0.2500